1.
VASP calculation (PBE) on a relaxed CuNiAgMo crystal.

Properties
Polymorph energy (0 for the lowest one) in eV/atom: 0.0000
Magnetic moment in μB per atom: 0.00
Calculated total energy in eV/cell: -86.38

a = 6.0550 Å, b = 6.0550 Å, c = 6.0550 Å
α = 90.00°, β = 90.00°, γ = 90.00°
Space group F-43m (No. 216)
Inequivalent atoms, fractional coordinates:
Cu  0.0000  0.0000  0.0000
Ni  0.0000  0.0000  0.5000
Ag  0.2500  0.2500  0.2500
Mo  0.2500  0.2500  0.7500

---

2.
VASP calculation (PBE) on a relaxed CoNiHgGe crystal.

Properties
Polymorph energy (0 for the lowest one) in eV/atom: 0.2088
Magnetic moment in μB per atom: 0.40
Calculated total energy in eV/cell: -63.53

a = 6.2091 Å, b = 6.2091 Å, c = 6.2091 Å
α = 90.00°, β = 90.00°, γ = 90.00°
Space group F-43m (No. 216)
Inequivalent atoms, fractional coordinates:
Co  0.0000  0.0000  0.0000
Ni  0.2500  0.2500  0.2500
Hg  0.0000  0.0000  0.5000
Ge  0.2500  0.2500  0.7500

---

3.
VASP calculation (PBE) on a relaxed Pu crystal.

Properties
Polymorph energy (0 for the lowest one) in eV/atom: 0.1837
Magnetic moment in μB per atom: 6.05
Calculated total energy in eV/cell: -111.54

a = 6.0666 Å, b = 6.0666 Å, c = 6.0666 Å
α = 90.00°, β = 90.00°, γ = 90.00°
Space group Pm-3n (No. 223)
Inequivalent atoms, fractional coordinates:
Pu  0.0000  0.0000  0.0000
Pu  0.0000  0.2500  0.5000

---

4.
VASP calculation (PBE) on a relaxed KTcOs crystal.

Properties
Polymorph energy (0 for the lowest one) in eV/atom: 0.0000
Magnetic moment in μB per atom: 0.00
Calculated total energy in eV/cell: -69.58

a = 6.2252 Å, b = 6.2252 Å, c = 6.2252 Å
α = 90.00°, β = 90.00°, γ = 90.00°
Space group F-43m (No. 216)
Inequivalent atoms, fractional coordinates:
K  0.0000  0.0000  0.0000
Tc  0.2500  0.2500  0.7500
Os  0.0000  0.0000  0.5000

---

5.
VASP calculation (PBE) on a relaxed Tb2YMg3Pt3 crystal.

Properties
Magnetic moment in μB per atom: 0.00
Calculated total energy in eV/cell: -94.34

a = 4.0807 Å, b = 12.7892 Å, c = 7.3563 Å
α = 90.00°, β = 90.00°, γ = 90.00°
Space group Amm2 (No. 38)
Inequivalent atoms, fractional coordinates:
Tb  0.0000  0.2052  0.0000
Y  0.0000  0.0000  0.6152
Mg  0.5000  0.0000  0.9598
Mg  0.5000  0.1222  0.3277
Pt  0.0000  0.0000  0.2045
Pt  0.5000  0.1672  0.7053

---

6.
VASP calculation (PBE) on a relaxed Pa7Ga crystal.

Properties
Magnetic moment in μB per atom: 0.00
Calculated total energy in eV/cell: -281.55

a = 9.1258 Å, b = 9.1258 Å, c = 9.1258 Å
α = 90.00°, β = 90.00°, γ = 90.00°
Space group Fm-3m (No. 225)
Inequivalent atoms, fractional coordinates:
Pa  0.0000  0.0000  0.0000
Pa  0.0000  0.2500  0.2500
Ga  0.0000  0.0000  0.5000

---

7.
VASP calculation (PBE) on a relaxed YHfTeC crystal.

Properties
Polymorph energy (0 for the lowest one) in eV/atom: 0.0153
Magnetic moment in μB per atom: 0.00
Calculated total energy in eV/cell: -64.22

a = 3.6340 Å, b = 3.6340 Å, c = 13.7803 Å
α = 90.00°, β = 90.00°, γ = 120.00°
Space group P-6m2 (No. 187)
Inequivalent atoms, fractional coordinates:
Y  0.0000  0.0000  0.1649
Hf  0.6667  0.3333  0.3460
Te  0.0000  0.0000  0.5000
Te  0.6667  0.3333  0.0000
C  0.3333  0.6667  0.2716

---

8.
VASP calculation (PBE) on a relaxed RbIr crystal.

Properties
Polymorph energy (0 for the lowest one) in eV/atom: 1.1584
Magnetic moment in μB per atom: 1.00
Calculated total energy in eV/cell: -20.64

a = 7.8953 Å, b = 7.8953 Å, c = 7.8953 Å
α = 90.00°, β = 90.00°, γ = 90.00°
Space group F-43m (No. 216)
Inequivalent atoms, fractional coordinates:
Rb  0.0000  0.0000  0.0000
Ir  0.2500  0.2500  0.2500

---

9.
VASP calculation (PBE) on a relaxed CuAg6 crystal.

Properties
Polymorph energy (0 for the lowest one) in eV/atom: 0.0145
Calculated total energy in eV/cell: -40.74

a = 2.9001 Å, b = 4.0511 Å, c = 20.3405 Å
α = 90.00°, β = 90.00°, γ = 90.00°
Space group Immm (No. 71)
Inequivalent atoms, fractional coordinates:
Cu  0.0000  0.0000  0.0000
Ag  0.0000  0.0000  0.1393
Ag  0.0000  0.0000  0.2865
Ag  0.0000  0.0000  0.4327

---

10.
VASP calculation (PBE) on a relaxed PuTlCo crystal.

Properties
Magnetic moment in μB per atom: 1.65
Calculated total energy in eV/cell: -92.73

a = 6.4601 Å, b = 6.4601 Å, c = 6.4601 Å
α = 90.00°, β = 90.00°, γ = 90.00°
Space group F-43m (No. 216)
Inequivalent atoms, fractional coordinates:
Pu  0.0000  0.0000  0.0000
Tl  0.0000  0.0000  0.5000
Co  0.2500  0.2500  0.2500

---

11.
VASP calculation (PBE) on a relaxed TaCdO3 crystal.

Properties
Magnetic moment in μB per atom: 0.00
Calculated total energy in eV/cell: -37.53

a = 3.9850 Å, b = 3.9850 Å, c = 4.0075 Å
α = 90.00°, β = 90.00°, γ = 90.00°
Space group P4mm (No. 99)
Inequivalent atoms, fractional coordinates:
Ta  0.0000  0.0000  0.0000
Cd  0.5000  0.5000  0.5118
O  0.0000  0.0000  0.4968
O  0.0000  0.5000  0.9955

---

12.
VASP calculation (PBE) on a relaxed Mg4InGaPt2 crystal.

Properties
Magnetic moment in μB per atom: 0.00
Calculated total energy in eV/cell: -57.48

a = 8.4980 Å, b = 4.5465 Å, c = 7.8955 Å
α = 90.00°, β = 90.00°, γ = 90.00°
Space group Amm2 (No. 38)
Inequivalent atoms, fractional coordinates:
Mg  0.1683  0.0000  0.0000
Mg  0.3261  0.0000  0.3323
In  0.5000  0.0000  0.6649
Ga  0.0000  0.0000  0.6675
Pt  0.0000  0.0000  0.3344
Pt  0.5000  0.0000  0.9978

---

13.
VASP calculation (PBE) on a relaxed La2SiAg2Ge crystal.

Properties
Polymorph energy (0 for the lowest one) in eV/atom: 0.0061
Magnetic moment in μB per atom: 0.00
Calculated total energy in eV/cell: -29.17

a = 4.5372 Å, b = 4.5372 Å, c = 8.1008 Å
α = 90.00°, β = 90.00°, γ = 120.00°
Space group P-6m2 (No. 187)
Inequivalent atoms, fractional coordinates:
La  0.0000  0.0000  0.2486
Si  0.6667  0.3333  0.0000
Ag  0.3333  0.6667  0.0000
Ag  0.6667  0.3333  0.5000
Ge  0.3333  0.6667  0.5000

---

14.
VASP calculation (PBE) on a relaxed CsNpIr crystal.

Properties
Polymorph energy (0 for the lowest one) in eV/atom: 0.0000
Magnetic moment in μB per atom: 1.50
Calculated total energy in eV/cell: -78.07

a = 7.1308 Å, b = 7.1308 Å, c = 7.1308 Å
α = 90.00°, β = 90.00°, γ = 90.00°
Space group F-43m (No. 216)
Inequivalent atoms, fractional coordinates:
Cs  0.0000  0.0000  0.0000
Np  0.0000  0.0000  0.5000
Ir  0.2500  0.2500  0.2500

---

15.
VASP calculation (PBE) on a relaxed NaDyBe crystal.

Properties
Polymorph energy (0 for the lowest one) in eV/atom: 0.0000
Magnetic moment in μB per atom: 0.03
Calculated total energy in eV/cell: -30.93

a = 6.6669 Å, b = 6.6669 Å, c = 6.6669 Å
α = 90.00°, β = 90.00°, γ = 90.00°
Space group F-43m (No. 216)
Inequivalent atoms, fractional coordinates:
Na  0.0000  0.0000  0.0000
Dy  0.0000  0.0000  0.5000
Be  0.2500  0.2500  0.7500

---

16.
VASP calculation (PBE) on a relaxed Sm2Ge2O7 crystal.

Properties
Polymorph energy (0 for the lowest one) in eV/atom: 0.0000
Magnetic moment in μB per atom: 0.00
Calculated total energy in eV/cell: -326.22

a = 6.9097 Å, b = 6.9097 Å, c = 12.6233 Å
α = 90.00°, β = 90.00°, γ = 90.00°
Space group P4_12_12 (No. 92)
Inequivalent atoms, fractional coordinates:
Sm  0.1241  0.3501  0.1150
Ge  0.1013  0.1551  0.6281
O  0.0272  0.0736  0.8772
O  0.0602  0.6624  0.1780
O  0.1427  0.3117  0.2957
O  0.2024  0.2024  0.5000

---

17.
VASP calculation (PBE) on a relaxed Zr3Ge4Se crystal.

Properties
Magnetic moment in μB per atom: 0.00
Calculated total energy in eV/cell: -50.76

a = 6.1711 Å, b = 3.6931 Å, c = 7.3740 Å
α = 90.00°, β = 99.60°, γ = 90.00°
Space group Pm (No. 6)
Inequivalent atoms, fractional coordinates:
Zr  0.0000  0.0000  0.0000
Zr  0.1386  0.5000  0.3830
Zr  0.6334  0.5000  0.6235
Ge  0.1918  0.5000  0.7772
Ge  0.4457  0.0000  0.3157
Ge  0.7119  0.5000  0.2429
Ge  0.9593  0.0000  0.5897
Se  0.5729  0.0000  0.8838

---

18.
VASP calculation (PBE) on a relaxed PrHfPa crystal.

Properties
Polymorph energy (0 for the lowest one) in eV/atom: 0.0000
Magnetic moment in μB per atom: 0.00
Calculated total energy in eV/cell: -85.76

a = 7.1901 Å, b = 7.1901 Å, c = 7.1901 Å
α = 90.00°, β = 90.00°, γ = 90.00°
Space group F-43m (No. 216)
Inequivalent atoms, fractional coordinates:
Pr  0.0000  0.0000  0.0000
Hf  0.2500  0.2500  0.7500
Pa  0.0000  0.0000  0.5000

---

19.
VASP calculation (PBE) on a relaxed DyAgNO crystal.

Properties
Polymorph energy (0 for the lowest one) in eV/atom: 0.0000
Magnetic moment in μB per atom: 0.03
Calculated total energy in eV/cell: -101.60

a = 5.6283 Å, b = 7.7034 Å, c = 5.5844 Å
α = 90.00°, β = 90.00°, γ = 90.00°
Space group Pca2_1 (No. 29)
Inequivalent atoms, fractional coordinates:
Dy  0.0464  0.1315  0.0000
Ag  0.0594  0.4699  0.6267
N  0.1545  0.3307  0.3054
O  0.2463  0.9581  0.2437

---

20.
VASP calculation (PBE) on a relaxed SrFeS3 crystal.

Properties
Polymorph energy (0 for the lowest one) in eV/atom: 0.1024
Magnetic moment in μB per atom: 0.72
Calculated total energy in eV/cell: -52.75

a = 6.5448 Å, b = 6.5669 Å, c = 4.6426 Å
α = 90.00°, β = 90.00°, γ = 90.00°
Space group Cmmm (No. 65)
Inequivalent atoms, fractional coordinates:
Sr  0.0000  0.0000  0.0000
Fe  0.0000  0.5000  0.5000
S  0.0000  0.5000  0.0000
S  0.2500  0.2500  0.5000